Computed, not measured: a relaxed structure of ZrSbPbI2 at the PBE-GGA level of DFT.

For the formation energy from raw total energies, the calculation gives -0.04 eV/atom. The calculation puts the spin magnetization at 0.1 μB/f.u. The value obtained for the total energy is -0.1446 hartree per atom. The calculation puts the volume at 36.896 A^3/atom.

It has space group P4/mmm (No. 123), with a = 5.628 Å, b = 5.628 Å, c = 5.825 Å, α = 90.00°, β = 90.00° and γ = 90.00°. The inequivalent atoms are Zr at (0.000, 0.000, 0.000), Sb at (0.000, 0.000, 0.500), Pb at (0.500, 0.500, 0.500) and I at (0.000, 0.500, 0.000).